1 | ## Sm8Tm2Sc3 (PBE-GGA)

Data for an optimized crystal structure of Sm8Tm2Sc3.

DOS(E_F) (states/eV/atom): 1.382

a b c (Å): 5.5773 7.5937 10.5102
angles (deg): 111.18 90.01 90.00
With the nearest neighbours (Å) after each atom.
Atoms (fractional coordinates):
Sc1 0.0000 0.7056 0.0000  1 Sc 3.12, 6 Sm 3.32-3.42
Sc2 0.0000 0.2944 0.0000  1 Sc 3.12, 6 Sm 3.32-3.42
Sc3 0.5000 0.0000 0.0000  4 Sm 2.99
Sm1 0.4999 0.1933 0.7972  1 Sc 2.99, 1 Sm 3.12
Sm2 0.0003 0.6704 0.3408  2 Tm 3.31, 4 Sm 3.47, 2 Sc 3.69
Sm3 0.4999 0.6039 0.7972  1 Sc 2.99, 1 Sm 3.12
Sm4 0.9999 0.1255 0.2510  4 Sc 3.32-3.72, 2 Tm 3.56, 4 Sm 3.61
Sm5 0.9997 0.3296 0.6592  2 Tm 3.31, 4 Sm 3.47, 2 Sc 3.69
Sm6 0.0001 0.8745 0.7490  4 Sc 3.32-3.72, 2 Tm 3.56, 4 Sm 3.61
Sm7 0.5001 0.3961 0.2028  1 Sc 2.99, 1 Sm 3.12
Sm8 0.5001 0.8067 0.2028  1 Sc 2.99, 1 Sm 3.12
Tm1 0.5004 0.7614 0.5228  8 Sm 3.31-3.56
Tm2 0.4996 0.2386 0.4772  8 Sm 3.31-3.56


2 | ## Sm8Tm2Sc3 (PBE-GGA)

Data for an optimized crystal structure of Sm8Tm2Sc3.

DOS(E_F) (states/eV/atom): 1.465

a b c (Å): 6.6110 8.8635 8.6122
angles (deg): 120.97 98.10 90.00
With the nearest neighbours (Å) after each atom.
Atoms (fractional coordinates):
Sm1 0.1058 0.4102 0.8204  4 Sm 3.20-3.52, 2 Sc 3.40
Sm2 0.8132 0.1911 0.3823  2 Tm 3.19-3.42, 3 Sc 3.21-3.56, 1 Sm 3.49
Sm3 0.4324 0.4286 0.2229  3 Sm 3.24-3.55, 2 Tm 3.26-3.50, 2 Sc 3.32-3.35
Sm4 0.1868 0.8089 0.6177  2 Tm 3.19-3.42, 3 Sc 3.21-3.56, 1 Sm 3.49
Sm5 0.5676 0.2057 0.7771  3 Sm 3.24-3.55, 2 Tm 3.26-3.50, 2 Sc 3.32-3.35
Sm6 0.4324 0.7943 0.2229  3 Sm 3.24-3.55, 2 Tm 3.26-3.50, 2 Sc 3.32-3.35
Sm7 0.8942 0.5898 0.1796  4 Sm 3.20-3.52, 2 Sc 3.40
Sm8 0.5676 0.5714 0.7771  3 Sm 3.24-3.55, 2 Tm 3.26-3.50, 2 Sc 3.32-3.35
Sc1 0.0000 0.1619 0.0000  1 Sc 2.87
Sc2 0.5000 0.0000 0.0000  6 Sm 3.21-3.32, 2 Tm 3.38
Sc3 0.0000 0.8381 0.0000  1 Sc 2.87
Tm1 0.7020 0.8039 0.6079  6 Sm 3.19-3.50, 3 Sc 3.38-3.53
Tm2 0.2980 0.1961 0.3921  6 Sm 3.19-3.50, 3 Sc 3.38-3.53


Here is how they stack up, most stable first: 1, 2.